16
Lattice="8.604 0.000 0.000 0.000 8.604 0.000 0.000 0.000 8.887" Properties=species:S:1:pos:R:3 comment="Ba2MnS, relaxed, DFT GGA-PBE" raw_formation_energy_ev_per_atom=-0.302 crystal_system=tetragonal pbc="T T T"
Ba 1.801 2.151 1.111
Ba 2.151 6.103 3.333
Ba 2.151 6.803 7.776
Ba 2.501 2.151 5.555
Ba 6.103 6.453 5.555
Ba 6.453 1.801 7.776
Ba 6.453 2.501 3.333
Ba 6.803 6.453 1.111
Mn 0.000 0.000 4.444
Mn 0.000 4.302 6.666
Mn 4.302 0.000 2.222
Mn 4.302 4.302 0.000
S 0.000 0.000 0.000
S 0.000 4.302 2.222
S 4.302 0.000 6.666
S 4.302 4.302 4.444


20
Lattice="4.904 -5.086 0.000 4.904 5.086 0.000 -0.012 0.000 6.554" Properties=species:S:1:pos:R:3 comment="VZnGa3, relaxed, DFT GGA-PBE" formation_enthalpy_0k_ev_per_atom=0.0653 crystal_system=monoclinic pbc="T T T"
V 2.446 0.300 0.866
V 2.440 -0.300 4.143
V 7.356 0.300 2.411
V 7.350 -0.300 5.688
Zn 4.901 4.201 1.639
Zn 4.895 0.914 4.916
Zn 4.901 -0.914 1.639
Zn 4.895 -4.201 4.916
Ga 3.998 3.722 3.927
Ga 2.433 2.060 5.387
Ga 5.792 3.722 5.904
Ga 4.004 1.345 2.623
Ga 2.439 -2.060 2.110
Ga 5.798 1.345 0.654
Ga 3.998 -1.345 5.900
Ga 7.358 2.060 4.445
Ga 5.793 -1.345 3.931
Ga 4.004 -3.722 0.650
Ga 7.364 -2.060 1.167
Ga 5.798 -3.722 2.627


16
Lattice="7.494 0.000 0.000 0.000 7.494 0.000 0.000 0.000 7.494" Properties=species:S:1:pos:R:3 comment="SmThScGa, relaxed, DFT GGA-PBE" formation_enthalpy_0k_ev_per_atom=-0.0931 crystal_system=cubic pbc="T T T"
Sm 0.000 0.000 0.000
Sm 0.000 3.747 3.747
Sm 3.747 0.000 3.747
Sm 3.747 3.747 0.000
Th 0.000 0.000 3.747
Th 0.000 3.747 0.000
Th 3.747 0.000 0.000
Th 3.747 3.747 3.747
Sc 1.874 1.874 5.621
Sc 1.874 5.621 1.874
Sc 5.621 1.874 1.874
Sc 5.621 5.621 5.621
Ga 1.874 1.874 1.874
Ga 1.874 5.621 5.621
Ga 5.621 1.874 5.621
Ga 5.621 5.621 1.874


8
Lattice="2.969 0.000 0.000 0.000 4.714 0.000 0.000 0.000 11.042" Properties=species:S:1:pos:R:3 comment="K2NiOs, relaxed, DFT GGA-PBE" formation_enthalpy_0k_ev_per_atom=1.2076 crystal_system=orthorhombic pbc="T T T"
K 0.000 0.000 2.662
K 0.000 0.000 8.381
K 1.484 2.357 2.662
K 1.484 2.357 8.381
Ni 0.000 2.357 0.000
Ni 1.484 0.000 0.000
Os 0.000 2.357 5.521
Os 1.484 0.000 5.521


12
Lattice="6.478 0.000 0.000 0.000 6.478 0.000 0.000 0.000 6.932" Properties=species:S:1:pos:R:3 comment="PuPS4, relaxed, DFT GGA-PBE" raw_formation_energy_ev_per_atom=-0.673 crystal_system=tetragonal pbc="T T T"
Pu 0.000 0.000 0.000
Pu 3.239 3.239 3.466
P 0.000 3.239 1.733
P 3.239 0.000 5.199
S 0.982 4.763 2.713
S 1.524 2.257 0.753
S 1.715 0.982 4.219
S 2.257 4.955 6.179
S 4.222 1.524 6.179
S 4.763 5.496 4.219
S 4.955 4.222 0.753
S 5.496 1.715 2.713


12
Lattice="3.074 0.000 0.000 -1.537 2.662 0.000 0.000 0.000 27.141" Properties=species:S:1:pos:R:3 comment="TaMo2Cl, relaxed, DFT GGA-PBE" raw_formation_energy_ev_per_atom=0.194 crystal_system=trigonal pbc="T T T"
Ta 0.000 0.000 0.000
Ta 0.000 1.774 18.094
Ta 1.537 0.887 9.047
Mo 0.000 0.000 13.202
Mo 0.000 0.000 20.457
Mo 0.000 1.774 4.156
Mo 0.000 1.774 11.410
Mo 1.537 0.887 2.364
Mo 1.537 0.887 22.249
Cl 0.000 0.000 7.235
Cl 0.000 1.774 25.329
Cl 1.537 0.887 16.282


Repeat the fifth record exactly.
12
Lattice="6.478 0.000 0.000 0.000 6.478 0.000 0.000 0.000 6.932" Properties=species:S:1:pos:R:3 comment="PuPS4, relaxed, DFT GGA-PBE" raw_formation_energy_ev_per_atom=-0.673 crystal_system=tetragonal pbc="T T T"
Pu 0.000 0.000 0.000
Pu 3.239 3.239 3.466
P 0.000 3.239 1.733
P 3.239 0.000 5.199
S 0.982 4.763 2.713
S 1.524 2.257 0.753
S 1.715 0.982 4.219
S 2.257 4.955 6.179
S 4.222 1.524 6.179
S 4.763 5.496 4.219
S 4.955 4.222 0.753
S 5.496 1.715 2.713